# AgSb2Pt

A geometry-optimized AgSb2Pt structure (PBEsol, the Alexandria database).

a b c (Å): 3.2420 3.2439 7.7144
angles (deg): 90.00 90.00 90.07
Last column: nearest neighbours and their distance in Å.
Atoms (fractional coordinates):
Ag: 0.5000 0.5000 0.5000  8 Sb 3.10, 4 Ag 3.24
Pt: 0.5000 0.5000 0.0000  8 Sb 2.90, 4 Pt 3.24
Sb: 0.0000 0.0000 0.2300  4 Pt 2.90, 4 Ag 3.10, 4 Sb 3.24
Sb: 0.0000 0.0000 0.7700  4 Pt 2.90, 4 Ag 3.10, 4 Sb 3.24

Results
- DOS(E_F) (states/eV per cell) = 1.20
- energy relative to the lowest polymorph listed for this composition (eV per atom) = 0.0000
- symmetry = No. 123
- M_tot (μB/cell) = 0.000